Material: CaMnGe2Os
Method: DFT, PBE-GGA
State: optimized geometry

Results
The space group is I-4m2, No. 119. The calculation puts the total magnetization at 2.7 Bohr magnetons per cell. For the calculated density, the calculation gives 7.94 g/cm3.

a b c (Å): 4.064 4.064 6.165
angles (deg): 109.24 109.24 90.00
Sites, in units of the cell vectors:
Ca 0.000 0.000 0.000
Mn 0.250 0.750 0.500
Ge 0.621 0.621 0.242
Ge 0.379 0.379 0.758
Os 0.750 0.250 0.500

***

Material: CaMnGe2Pd
Method: DFT, PBE-GGA
State: optimized geometry

Results
The space group is I-4m2, No. 119. The calculation puts the total magnetization at 3.2 Bohr magnetons per cell. For the calculated density, the calculation gives 6.12 g/cm3.

a b c (Å): 4.220 4.220 6.069
angles (deg): 110.35 110.35 90.00
Sites, in units of the cell vectors:
Ca 0.000 0.000 0.000
Mn 0.250 0.750 0.500
Ge 0.621 0.621 0.242
Ge 0.379 0.379 0.758
Pd 0.750 0.250 0.500

***

Material: Ca2MnGe2Pd5
Method: DFT, PBE-GGA
State: optimized geometry

Results
The space group is P4/mbm, No. 127. The calculation puts the total magnetization at 7.6 Bohr magnetons per cell. For the calculated density, the calculation gives 7.47 g/cm3.

a b c (Å): 3.551 10.086 10.086
angles (deg): 90.00 90.00 90.00
Sites, in units of the cell vectors:
Ca 0.000 0.674 0.174
Ca 0.000 0.326 0.826
Ca 0.000 0.174 0.326
Ca 0.000 0.826 0.674
Mn 0.000 0.000 0.000
Mn 0.000 0.500 0.500
Ge 0.000 0.128 0.628
Ge 0.000 0.872 0.372
Ge 0.000 0.628 0.872
Ge 0.000 0.372 0.128
Pd 0.500 0.201 0.059
Pd 0.500 0.799 0.941
Pd 0.500 0.059 0.799
Pd 0.500 0.701 0.441
Pd 0.500 0.941 0.201
Pd 0.500 0.299 0.559
Pd 0.500 0.559 0.701
Pd 0.500 0.441 0.299
Pd 0.500 0.500 0.000
Pd 0.500 0.000 0.500

***

Material: Ca2MnGe3Pd4
Method: DFT, PBE-GGA
State: optimized geometry

Results
The space group is P-4m2, No. 115. The calculation puts the total magnetization at 3.9 Bohr magnetons per cell. For the calculated density, the calculation gives 6.80 g/cm3.

a b c (Å): 4.174 4.174 10.919
angles (deg): 90.00 90.00 90.00
Sites, in units of the cell vectors:
Ca 0.500 0.000 0.248
Ca 0.000 0.500 0.752
Mn 0.500 0.500 0.500
Ge 0.000 0.000 0.500
Ge 0.500 0.000 0.869
Ge 0.000 0.500 0.131
Pd 0.500 0.500 0.000
Pd 0.000 0.000 0.000
Pd 0.500 0.000 0.643
Pd 0.000 0.500 0.357

***

Material: CaMnGe2Pt
Method: DFT, PBE-GGA
State: optimized geometry

Results
The space group is I-4m2, No. 119. The calculation puts the total magnetization at 3.2 Bohr magnetons per cell. For the calculated density, the calculation gives 7.71 g/cm3.

a b c (Å): 4.203 4.203 6.082
angles (deg): 110.22 110.22 90.00
Sites, in units of the cell vectors:
Ca 0.000 0.000 0.000
Mn 0.750 0.250 0.500
Ge 0.620 0.620 0.241
Ge 0.380 0.380 0.759
Pt 0.250 0.750 0.500

***

Material: CaMnGe2Pt5
Method: DFT, PBE-GGA
State: optimized geometry

Results
The space group is P4/mmm, No. 123. The calculation puts the total magnetization at 4.2 Bohr magnetons per cell. For the calculated density, the calculation gives 11.19 g/cm3.

a b c (Å): 4.060 4.060 10.945
angles (deg): 90.00 90.00 90.00
Sites, in units of the cell vectors:
Ca 0.000 0.000 0.500
Mn 0.000 0.000 0.000
Ge 0.500 0.500 0.280
Ge 0.500 0.500 0.720
Pt 0.000 0.500 0.150
Pt 0.500 0.000 0.150
Pt 0.000 0.500 0.850
Pt 0.500 0.000 0.850
Pt 0.500 0.500 0.500

***

Material: Ca2MnGe4Rh3
Method: DFT, PBE-GGA
State: optimized geometry

Results
The space group is P-4m2, No. 115. The calculation puts the total magnetization at 2.4 Bohr magnetons per cell. For the calculated density, the calculation gives 6.68 g/cm3.

a b c (Å): 4.184 4.184 10.434
angles (deg): 90.00 90.00 90.00
Sites, in units of the cell vectors:
Ca 0.500 0.000 0.251
Ca 0.000 0.500 0.749
Mn 0.500 0.500 0.500
Ge 0.500 0.500 0.000
Ge 0.000 0.000 0.000
Ge 0.500 0.000 0.631
Ge 0.000 0.500 0.369
Rh 0.000 0.000 0.500
Rh 0.500 0.000 0.872
Rh 0.000 0.500 0.128

***

Material: Ca2MnGe3Rh4
Method: DFT, PBE-GGA
State: optimized geometry

Results
The space group is P-4m2, No. 115. The calculation puts the total magnetization at 4.1 Bohr magnetons per cell. For the calculated density, the calculation gives 7.00 g/cm3.

a b c (Å): 4.143 4.143 10.562
angles (deg): 90.00 90.00 90.00
Sites, in units of the cell vectors:
Ca 0.500 0.000 0.247
Ca 0.000 0.500 0.753
Mn 0.500 0.500 0.500
Ge 0.000 0.000 0.500
Ge 0.500 0.000 0.873
Ge 0.000 0.500 0.127
Rh 0.500 0.500 0.000
Rh 0.000 0.000 0.000
Rh 0.500 0.000 0.638
Rh 0.000 0.500 0.362

***

Material: CaMnGe2Ru
Method: DFT, PBE-GGA
State: optimized geometry

Results
The space group is I-4m2, No. 119. The calculation puts the total magnetization at 2.6 Bohr magnetons per cell. For the calculated density, the calculation gives 6.29 g/cm3.

a b c (Å): 4.072 4.072 6.152
angles (deg): 109.33 109.33 90.00
Sites, in units of the cell vectors:
Ca 0.000 0.000 0.000
Mn 0.750 0.250 0.500
Ge 0.622 0.622 0.244
Ge 0.378 0.378 0.756
Ru 0.250 0.750 0.500

***

Material: Ca2MnZnGe
Method: DFT, PBE-GGA
State: optimized geometry

Results
The space group is P4/mmm, No. 123. The calculation puts the total magnetization at 2.3 Bohr magnetons per cell. For the calculated density, the calculation gives 3.24 g/cm3.

a b c (Å): 5.534 5.534 4.572
angles (deg): 90.00 90.00 90.00
Sites, in units of the cell vectors:
Ge 0.000 0.000 0.500
Mn 0.000 0.000 0.000
Zn 0.500 0.500 0.500
Ca 0.000 0.500 0.000
Ca 0.500 0.000 0.000

***

Material: Ca2MnZn3Ge4
Method: DFT, PBE-GGA
State: optimized geometry

Results
The space group is P-4m2, No. 115. The calculation puts the total magnetization at 3.9 Bohr magnetons per cell. For the calculated density, the calculation gives 5.28 g/cm3.

a b c (Å): 4.269 4.269 10.741
angles (deg): 90.00 90.00 90.00
Sites, in units of the cell vectors:
Ca 0.500 0.000 0.250
Ca 0.000 0.500 0.750
Mn 0.500 0.500 0.500
Zn 0.000 0.000 0.500
Zn 0.500 0.000 0.862
Zn 0.000 0.500 0.138
Ge 0.500 0.500 0.000
Ge 0.000 0.000 0.000
Ge 0.500 0.000 0.634
Ge 0.000 0.500 0.366

***

Material: CaGe3Mo
Method: DFT, PBE-GGA
State: optimized geometry

Results
The space group is Pm-3m, No. 221. As for the relative energy among the computed polymorphs: 0.0000 eV/atom. The calculation puts the total magnetization at 0.0 Bohr magnetons per cell. For the calculated density, the calculation gives 4.95 g/cm3.

a b c (Å): 4.914 4.914 4.914
angles (deg): 90.00 90.00 90.00
Sites, in units of the cell vectors:
Mo 0.000 0.000 0.000
Ca 0.500 0.500 0.500
Ge 0.000 0.500 0.000
Ge 0.000 0.000 0.500
Ge 0.500 0.000 0.000

***

Material: CaGeMo3
Method: DFT, PBE-GGA
State: optimized geometry

Results
The space group is Pm-3m, No. 221. As for the relative energy among the computed polymorphs: 0.0000 eV/atom. The calculation puts the total magnetization at 0.0 Bohr magnetons per cell. For the calculated density, the calculation gives 6.24 g/cm3.

a b c (Å): 4.742 4.742 4.742
angles (deg): 90.00 90.00 90.00
Sites, in units of the cell vectors:
Mo 0.000 0.500 0.000
Mo 0.000 0.000 0.500
Mo 0.500 0.000 0.000
Ca 0.500 0.500 0.500
Ge 0.000 0.000 0.000

***

Material: Ca2Ge2Mo
Method: DFT, PBE-GGA
State: optimized geometry

Results
The space group is P4/mbm, No. 127. The calculation puts the total magnetization at 0.0 Bohr magnetons per cell. For the calculated density, the calculation gives 4.84 g/cm3.

a b c (Å): 6.967 6.967 4.539
angles (deg): 90.00 90.00 90.00
Sites, in units of the cell vectors:
Mo 0.000 0.000 0.000
Mo 0.500 0.500 0.000
Ca 0.172 0.672 0.500
Ca 0.672 0.828 0.500
Ca 0.828 0.328 0.500
Ca 0.328 0.172 0.500
Ge 0.358 0.858 0.000
Ge 0.858 0.642 0.000
Ge 0.642 0.142 0.000
Ge 0.142 0.358 0.000

***

Material: CaGe2Mo
Method: DFT, PBE-GGA
State: optimized geometry

Results
The space group is I-42d, No. 122. As for the relative energy among the computed polymorphs: 0.3015 eV/atom. The calculation puts the total magnetization at 0.7 Bohr magnetons per cell. For the calculated density, the calculation gives 4.36 g/cm3.

a b c (Å): 5.096 5.096 9.003
angles (deg): 73.56 73.56 90.00
Sites, in units of the cell vectors:
Mo 0.000 0.000 0.000
Mo 0.750 0.250 0.500
Ca 0.500 0.500 0.000
Ca 0.250 0.750 0.500
Ge 0.813 0.125 0.250
Ge 0.937 0.625 0.250
Ge 0.375 0.187 0.750
Ge 0.875 0.063 0.750

***

Material: CaGeMo
Method: DFT, PBE-GGA
State: optimized geometry

Results
The space group is P4/nmm, No. 129. The calculation puts the total magnetization at 0.0 Bohr magnetons per cell. For the calculated density, the calculation gives 5.48 g/cm3.

a b c (Å): 3.978 3.978 7.987
angles (deg): 90.00 90.00 90.00
Sites, in units of the cell vectors:
Ca 0.000 0.500 0.845
Ca 0.500 0.000 0.155
Ge 0.000 0.500 0.276
Ge 0.500 0.000 0.724
Mo 0.500 0.500 0.500
Mo 0.000 0.000 0.500

***

Material: CaGeMo3
Method: DFT, PBE-GGA
State: optimized geometry

Results
The space group is Pm-3m, No. 221. As for the relative energy among the computed polymorphs: 1.5275 eV/atom. The calculation puts the total magnetization at 0.0 Bohr magnetons per cell. For the calculated density, the calculation gives 6.64 g/cm3.

a b c (Å): 4.644 4.644 4.644
angles (deg): 90.00 90.00 90.00
Sites, in units of the cell vectors:
Mo 0.000 0.500 0.000
Mo 0.000 0.000 0.500
Mo 0.500 0.000 0.000
Ca 0.000 0.000 0.000
Ge 0.500 0.500 0.500

***

Material: CaGe2Mo
Method: DFT, PBE-GGA
State: optimized geometry

Results
The space group is Fm-3m, No. 225. As for the relative energy among the computed polymorphs: 0.2013 eV/atom. The calculation puts the total magnetization at 1.6 Bohr magnetons per cell. For the calculated density, the calculation gives 6.27 g/cm3.

a b c (Å): 4.724 4.724 4.724
angles (deg): 60.00 60.00 60.00
Sites, in units of the cell vectors:
Mo 0.500 0.500 0.500
Ca 0.000 0.000 0.000
Ge 0.250 0.250 0.250
Ge 0.750 0.750 0.750

***

Material: CaGe3Mo
Method: DFT, PBE-GGA
State: optimized geometry

Results
The space group is Pm-3m, No. 221. As for the relative energy among the computed polymorphs: 1.8612 eV/atom. The calculation puts the total magnetization at 0.0 Bohr magnetons per cell. For the calculated density, the calculation gives 4.61 g/cm3.

a b c (Å): 5.032 5.032 5.032
angles (deg): 90.00 90.00 90.00
Sites, in units of the cell vectors:
Mo 0.500 0.500 0.500
Ca 0.000 0.000 0.000
Ge 0.000 0.500 0.000
Ge 0.000 0.000 0.500
Ge 0.500 0.000 0.000

***

Material: CaGe2Mo
Method: DFT, PBE-GGA
State: optimized geometry

Results
The space group is R-3m, No. 166. As for the relative energy among the computed polymorphs: 0.0000 eV/atom. The calculation puts the total magnetization at 0.0 Bohr magnetons per cell. For the calculated density, the calculation gives 5.74 g/cm3.

a b c (Å): 3.496 3.496 7.952
angles (deg): 77.30 77.30 60.00
Sites, in units of the cell vectors:
Mo 0.000 0.000 0.000
Ca 0.500 0.500 0.500
Ge 0.262 0.262 0.214
Ge 0.738 0.738 0.786

***

| no. | formation energy (eV/atom) |
| --- | --- |
| 1 | -0.330 |
| 2 | -0.523 |
| 3 | -0.556 |
| 4 | -0.608 |
| 5 | -0.579 |
| 6 | -0.494 |
| 7 | -0.605 |
| 8 | -0.665 |
| 9 | -0.446 |
| 10 | 0.191 |
| 11 | -0.312 |
| 12 | -0.021 |
| 13 | 1.111 |
| 14 | -0.169 |
| 15 | 0.178 |
| 16 | -0.321 |
| 17 | 2.638 |
| 18 | 0.078 |
| 19 | 1.840 |
| 20 | -0.123 |